Entry 1:
Below is AlGe2S after structural relaxation, with properties calculated at the PBE level.

Geometry as POSCAR:
```
AlGe2S
1.0
5.699 0.000 0.000
0.000 5.699 0.000
2.850 2.850 6.017
Ge S Al
4 2 2
direct
0.624 0.125 0.250
0.126 0.625 0.250
0.375 0.376 0.750
0.875 0.874 0.750
0.000 0.000 0.000
0.750 0.250 0.500
0.500 0.500 0.000
0.250 0.750 0.500
```

N(E_F)   3.31 states/eV/f.u.
Total magnetic moment   0.000 μB/atom

Entry 2:
Below is ScAlGeS2 after structural relaxation, with properties calculated at the PBE level.

Geometry as POSCAR:
```
ScAlGeS2
1.0
4.813 0.000 0.000
0.000 5.132 0.000
0.000 0.000 4.813
Sc Ge S Al
1 1 2 1
direct
0.000 0.500 0.000
0.000 0.000 0.000
0.000 0.000 0.500
0.500 0.000 0.000
0.500 0.500 0.500
```

N(E_F)   4.14 states/eV/f.u.
Total magnetic moment   0.000 μB/atom

Entry 3:
Below is SrAlGe2S6 after structural relaxation, with properties calculated at the PBE level.

Geometry as POSCAR:
```
SrAlGe2S6
1.0
-1.146 -6.766 4.027
-1.825 -6.816 -5.265
7.343 -4.803 0.725
Sr Al Ge S
2 2 4 12
direct
0.250 0.824 0.176
0.750 0.176 0.824
0.250 0.186 0.814
0.750 0.814 0.186
0.351 0.764 0.638
0.149 0.362 0.236
0.649 0.236 0.362
0.851 0.638 0.764
0.164 0.962 0.829
0.336 0.171 0.038
0.836 0.038 0.171
0.664 0.829 0.962
0.449 0.881 0.378
0.051 0.622 0.119
0.551 0.119 0.622
0.949 0.378 0.881
0.098 0.717 0.586
0.402 0.414 0.283
0.902 0.283 0.414
0.598 0.586 0.717
```

N(E_F)   2.94 states/eV/f.u.
Total magnetic moment   0.000 μB/atom

Entry 4:
Below is AlGeTe2S after structural relaxation, with properties calculated at the PBE level.

Geometry as POSCAR:
```
AlGeTe2S
1.0
5.313 0.000 0.000
0.000 5.002 0.000
0.000 0.000 5.313
Ge Te S Al
1 2 1 1
direct
0.000 0.500 0.000
0.000 0.000 0.500
0.500 0.000 0.000
0.000 0.000 0.000
0.500 0.500 0.500
```

N(E_F)   2.79 states/eV/f.u.
Total magnetic moment   0.000 μB/atom

Entry 5:
Below is AlTl2GeS4 after structural relaxation, with properties calculated at the PBE level.

Geometry as POSCAR:
```
AlTl2GeS4
1.0
5.941 0.000 0.000
2.971 6.635 0.000
2.971 0.000 11.336
Al Tl Ge S
2 4 2 8
direct
0.750 0.500 0.500
0.000 0.000 0.000
0.171 0.000 0.658
0.829 0.000 0.342
0.579 0.500 0.842
0.921 0.500 0.158
0.250 0.500 0.500
0.500 0.000 0.000
0.278 0.809 0.109
0.196 0.191 0.891
0.913 0.809 0.891
0.613 0.191 0.109
0.472 0.691 0.391
0.554 0.309 0.609
0.837 0.691 0.609
0.137 0.309 0.391
```

N(E_F)   2.13 states/eV/f.u.
Total magnetic moment   0.000 μB/atom

Entry 6:
Below is Al2TlGeS6 after structural relaxation, with properties calculated at the PBE level.

Geometry as POSCAR:
```
Al2TlGeS6
1.0
-0.430 -2.148 6.634
5.012 -8.003 1.572
5.829 4.899 5.802
Al Tl Ge S
4 2 2 12
direct
0.336 0.805 0.656
0.164 0.344 0.195
0.664 0.195 0.344
0.836 0.656 0.805
0.250 0.709 0.291
0.750 0.291 0.709
0.250 0.198 0.802
0.750 0.802 0.198
0.087 0.036 0.811
0.413 0.189 0.964
0.913 0.964 0.189
0.587 0.811 0.036
0.427 0.886 0.419
0.073 0.581 0.114
0.573 0.114 0.581
0.927 0.419 0.886
0.099 0.710 0.629
0.401 0.371 0.290
0.901 0.290 0.371
0.599 0.629 0.710
```

N(E_F)   2.73 states/eV/f.u.
Total magnetic moment   0.000 μB/atom

Entry 7:
Below is AlTlGeS4 after structural relaxation, with properties calculated at the PBE level.

Geometry as POSCAR:
```
AlTlGeS4
1.0
-0.250 -4.010 6.364
6.657 3.485 -0.429
-2.764 5.709 3.490
Al Tl Ge S
2 2 2 8
direct
0.878 0.122 0.250
0.122 0.878 0.750
0.500 0.500 0.500
0.500 0.500 0.000
0.126 0.874 0.250
0.874 0.126 0.750
0.188 0.196 0.750
0.804 0.812 0.750
0.765 0.235 0.999
0.765 0.235 0.501
0.235 0.765 0.001
0.235 0.765 0.499
0.812 0.804 0.250
0.196 0.188 0.250
```

Total magnetic moment   0.000 μB/atom

Entry 8:
Below is UAlGeS after structural relaxation, with properties calculated at the PBE level.

Geometry as POSCAR:
```
UAlGeS
1.0
4.310 0.000 0.000
0.000 4.310 0.000
0.000 0.000 8.483
U Al Ge S
2 2 2 2
direct
0.500 0.000 0.698
0.000 0.500 0.302
0.500 0.500 0.000
0.000 0.000 0.000
0.000 0.500 0.820
0.500 0.000 0.180
0.000 0.000 0.500
0.500 0.500 0.500
```

N(E_F)   5.90 states/eV/f.u.
Total magnetic moment   0.640 μB/atom

| no. | ΔE_f (raw) (kJ per mole of atoms) | mass density (g cm⁻³) |
| --- | --- | --- |
| 1 | 16.45 | 3.5 |
| 2 | 32.43 | 2.9 |
| 3 | -72.11 | 2.9 |
| 4 | 51.64 | 4.6 |
| 5 | -51.13 | 4.7 |
| 6 | -53.96 | 3.2 |
| 7 | -58.74 | 3.7 |
| 8 | -53.64 | 7.8 |